# Te2SeS, optimized geometry, DFT PBE
# * raw formation energy: 262 meV per atom
data_Te2SeS
_symmetry_space_group_name_H-M 'I -4 2 d'
_symmetry_Int_Tables_number 122
_symmetry_space_group_name_Hall 'I -4 2bw'
_cell_length_a 7.506
_cell_length_b 7.506
_cell_length_c 7.924
_cell_angle_alpha 90.00
_cell_angle_beta 90.00
_cell_angle_gamma 90.00
loop_
_atom_site_label
_atom_site_fract_x
_atom_site_fract_y
_atom_site_fract_z
Te1 0.240 0.250 0.125
Se1 0.000 0.000 0.500
S1 0.000 0.000 0.000